VASP calculation (PBE+U) on a relaxed K5CoO4F2 crystal.

a = 7.681 Å, b = 5.782 Å, c = 5.782 Å
α = 113.33°, β = 90.00°, γ = 90.00°
Fractional coordinates of all 12 atoms:
K 0.000 0.000 0.000
K 0.262 0.295 0.671
K 0.262 0.671 0.295
K 0.738 0.295 0.671
K 0.738 0.671 0.295
Co 0.500 0.990 0.990
O 0.316 0.160 0.160
O 0.500 0.680 0.956
O 0.500 0.956 0.680
O 0.684 0.160 0.160
F 0.000 0.531 0.956
F 0.000 0.956 0.531

Values from the calculation:
- SG: Amm2 (38)
- DOS(E_F): 2.38 states/eV/f.u.
- Total DFT energy (no corrections): -4.51 eV per atom